Entry 1:
Material: CoSnBRh2
Method: DFT, PBE
State: optimized geometry

Lattice parameters (Å, degrees): 4.1405 4.1405 3.9190 90.00 90.00 90.00
Element x y z (fractional)
Co 0.0000 0.0000 0.0000
Sn 0.5000 0.5000 0.0000
B 0.0000 0.0000 0.5000
Rh 0.0000 0.5000 0.5000
Rh 0.5000 0.0000 0.5000

Summary:
* energy of formation from the pure elements: -0.284 eV/atom
* E_tot: -33.91 eV for the cell shown

Entry 2:
Material: CoTc2BRh
Method: DFT, PBE
State: optimized geometry

Lattice parameters (Å, degrees): 4.0655 4.0655 4.0059 90.00 90.00 90.00
Element x y z (fractional)
Co 0.0000 0.0000 0.0000
Tc 0.0000 0.5000 0.5000
Tc 0.5000 0.0000 0.5000
B 0.5000 0.5000 0.5000
Rh 0.5000 0.5000 0.0000

Summary:
* energy of formation from the pure elements: 0.277 eV/atom
* E_tot: -40.48 eV for the cell shown

Entry 3:
Material: Th3CoB2Rh9
Method: DFT, PBE
State: optimized geometry

Lattice parameters (Å, degrees): 6.0350 6.0350 7.8945 90.00 90.00 120.00
Element x y z (fractional)
Th 0.0000 0.0000 0.0000
Th 0.3333 0.6667 0.6534
Th 0.6667 0.3333 0.3466
Co 0.0000 0.0000 0.5000
B 0.3333 0.6667 0.1494
B 0.6667 0.3333 0.8506
Rh 0.0000 0.5000 0.0000
Rh 0.1730 0.3461 0.3045
Rh 0.1730 0.8270 0.3045
Rh 0.3461 0.1730 0.6955
Rh 0.5000 0.0000 0.0000
Rh 0.5000 0.5000 0.0000
Rh 0.6539 0.8270 0.3045
Rh 0.8270 0.1730 0.6955
Rh 0.8270 0.6539 0.6955

Summary:
* energy of formation from the pure elements: -0.681 eV/atom
* E_tot: -119.10 eV for the cell shown

Entry 4:
Material: TlCoBRh2
Method: DFT, PBE
State: optimized geometry

Lattice parameters (Å, degrees): 4.1632 4.1632 4.0018 90.00 90.00 90.00
Element x y z (fractional)
Tl 0.0000 0.0000 0.0000
Co 0.5000 0.5000 0.0000
B 0.5000 0.5000 0.5000
Rh 0.0000 0.5000 0.5000
Rh 0.5000 0.0000 0.5000

Summary:
* energy of formation from the pure elements: -0.064 eV/atom
* E_tot: -31.17 eV for the cell shown

Entry 5:
Material: TmCoBRh2
Method: DFT, PBE
State: optimized geometry

Lattice parameters (Å, degrees): 4.1737 4.1737 3.9903 90.00 90.00 90.00
Element x y z (fractional)
Tm 0.0000 0.0000 0.0000
Co 0.5000 0.5000 0.0000
B 0.5000 0.5000 0.5000
Rh 0.0000 0.5000 0.5000
Rh 0.5000 0.0000 0.5000

Summary:
* energy of formation from the pure elements: -0.672 eV/atom
* E_tot: -36.32 eV for the cell shown

Entry 6:
Material: YCo2BRh
Method: DFT, PBE
State: optimized geometry

Lattice parameters (Å, degrees): 4.0074 4.0074 4.1656 90.00 90.00 90.00
Element x y z (fractional)
Y 0.0000 0.0000 0.0000
Co 0.0000 0.5000 0.5000
Co 0.5000 0.0000 0.5000
B 0.5000 0.5000 0.5000
Rh 0.5000 0.5000 0.0000

Summary:
* energy of formation from the pure elements: -0.445 eV/atom
* E_tot: -36.93 eV for the cell shown

Entry 7:
Material: YCoBRh2
Method: DFT, PBE
State: optimized geometry

Lattice parameters (Å, degrees): 4.1992 4.1992 4.0293 90.00 90.00 90.00
Element x y z (fractional)
Y 0.0000 0.0000 0.0000
Co 0.5000 0.5000 0.0000
B 0.5000 0.5000 0.5000
Rh 0.0000 0.5000 0.5000
Rh 0.5000 0.0000 0.5000

Summary:
* energy of formation from the pure elements: -0.615 eV/atom
* E_tot: -38.03 eV for the cell shown

Entry 8:
Material: ZnCoBRh2
Method: DFT, PBE
State: optimized geometry

Lattice parameters (Å, degrees): 4.0760 4.0760 3.8414 90.00 90.00 90.00
Element x y z (fractional)
Zn 0.0000 0.0000 0.0000
Co 0.5000 0.5000 0.0000
B 0.5000 0.5000 0.5000
Rh 0.0000 0.5000 0.5000
Rh 0.5000 0.0000 0.5000

Summary:
* energy of formation from the pure elements: -0.158 eV/atom
* E_tot: -30.55 eV for the cell shown

Number 1: mass density 9744 kg/m³, DOS(E_F) 0.487 states/eV/atom. Number 2: mass density 9246 kg/m³, DOS(E_F) 1.367 states/eV/atom. Number 3: mass density 11355 kg/m³, DOS(E_F) 0.431 states/eV/atom. Number 4: mass density 11490 kg/m³, DOS(E_F) 0.679 states/eV/atom. Number 5: mass density 10618 kg/m³, DOS(E_F) 0.341 states/eV/atom. Number 6: mass density 7955 kg/m³, DOS(E_F) 0.379 states/eV/atom. Number 7: mass density 8518 kg/m³, DOS(E_F) 0.382 states/eV/atom. Number 8: mass density 8872 kg/m³, DOS(E_F) 1.012 states/eV/atom.